The following is a GGA-PBE calculation of a relaxed structure of BaRu, from the Alexandria database.

The structure in extended XYZ format:
```
12
Lattice="11.937 0.000 0.000 0.000 3.954 0.000 0.000 0.000 8.522" Properties=species:S:1:pos:R:3 pbc="T T T"
Ba 3.691 0.000 6.314
Ba 8.246 0.000 6.314
Ba 9.660 1.977 2.053
Ba 0.000 0.000 7.388
Ba 2.278 1.977 2.053
Ba 5.969 1.977 3.127
Ru 0.000 0.000 4.250
Ru 7.298 0.000 0.659
Ru 4.639 0.000 0.659
Ru 10.608 1.977 4.920
Ru 5.969 1.977 8.511
Ru 1.330 1.977 4.920
```

Values from the calculation:
VASP energy   -5.10 eV/atom
Space-group type   Imm2 (44)
E_form   48.54 kJ/mol of atoms
Calculated volume   402.2 Å³ per cell
Spin magnetization   0.00 μB/f.u.
Density of states at the Fermi level   2.41 states/eV/f.u.

The following is a GGA-PBE calculation of a relaxed structure of Ba2Ru, from the Alexandria database.

The structure in extended XYZ format:
```
6
Lattice="0.000 4.758 4.758 4.758 0.000 4.758 4.758 4.758 0.000" Properties=species:S:1:pos:R:3 pbc="T T T"
Ba 1.190 3.569 3.569
Ba 1.190 1.190 1.190
Ba 3.569 1.190 3.569
Ba 3.569 3.569 1.190
Ru 7.137 7.137 7.137
Ru 4.758 4.758 4.758
```

Values from the calculation:
VASP energy   -2.86 eV/atom
Space-group type   Fd-3m (227)
E_form   146.06 kJ/mol of atoms
Calculated volume   215.4 Å³ per cell
Spin magnetization   1.05 μB/f.u.
Density of states at the Fermi level   6.15 states/eV/f.u.

The following is a GGA-PBE calculation of a relaxed structure of Ba2Ru, from the Alexandria database.

The structure in extended XYZ format:
```
6
Lattice="-1.883 1.883 16.263 1.883 -1.883 16.263 1.883 1.883 -16.263" Properties=species:S:1:pos:R:3 pbc="T T T"
Ba 1.883 0.000 9.977
Ba 0.000 0.000 18.109
Ba 0.000 0.000 14.418
Ba 1.883 0.000 6.286
Ru 0.000 1.883 8.132
Ru 0.000 0.000 0.000
```

Values from the calculation:
VASP energy   -3.91 eV/atom
Space-group type   I4_1/amd (141)
E_form   44.44 kJ/mol of atoms
Calculated volume   230.6 Å³ per cell
Spin magnetization   0.23 μB/f.u.
Density of states at the Fermi level   2.91 states/eV/f.u.

The following is a GGA-PBE calculation of a relaxed structure of Ba2Ru, from the Alexandria database.

The structure in extended XYZ format:
```
3
Lattice="-1.216 -4.351 0.856 2.373 2.382 3.135 -5.973 2.226 2.831" Properties=species:S:1:pos:R:3 pbc="T T T"
Ba -4.624 -0.390 3.797
Ba -0.192 0.648 3.024
Ru 0.000 0.000 0.000
```

Values from the calculation:
VASP energy   -3.80 eV/atom
Space-group type   P-3m1 (164)
E_form   55.12 kJ/mol of atoms
Calculated volume   127.7 Å³ per cell
Spin magnetization   0.36 μB/f.u.
Density of states at the Fermi level   5.45 states/eV/f.u.

The following is a GGA-PBE calculation of a relaxed structure of BaRu, from the Alexandria database.

The structure in extended XYZ format:
```
16
Lattice="7.775 0.000 0.000 0.000 6.519 0.000 0.000 0.000 10.054" Properties=species:S:1:pos:R:3 pbc="T T T"
Ru 5.809 1.534 4.137
Ru 1.921 1.725 5.917
Ru 4.042 3.909 0.173
Ru 0.155 5.869 9.881
Ru 7.620 2.610 5.200
Ru 3.732 0.650 4.854
Ru 1.966 4.794 0.890
Ru 5.854 4.984 9.165
Ba 4.608 0.686 1.143
Ba 2.786 5.551 7.708
Ba 3.166 3.946 3.884
Ba 0.721 2.573 8.911
Ba 4.989 2.291 7.373
Ba 7.054 5.832 6.170
Ba 1.101 0.968 2.681
Ba 6.674 4.228 2.346
```

Values from the calculation:
VASP energy   -5.19 eV/atom
Space-group type   P2_12_12_1 (19)
E_form   39.86 kJ/mol of atoms
Calculated volume   509.6 Å³ per cell
Spin magnetization   0.00 μB/f.u.
Density of states at the Fermi level   3.08 states/eV/f.u.

The following is a GGA-PBE calculation of a relaxed structure of Ba5Ru4, from the Alexandria database.

The structure in extended XYZ format:
```
9
Lattice="-5.194 5.194 2.435 5.194 -5.194 2.435 5.194 5.194 -2.435" Properties=species:S:1:pos:R:3 pbc="T T T"
Ba 1.856 -1.856 2.435
Ba 0.000 0.000 0.000
Ba -1.856 1.856 2.435
Ba 1.856 1.856 2.435
Ba 3.338 3.338 0.000
Ru 0.000 4.010 0.000
Ru 0.000 6.377 0.000
Ru 4.010 0.000 0.000
Ru 6.377 0.000 0.000
```

Values from the calculation:
VASP energy   -4.36 eV/atom
Space-group type   I4/mmm (139)
E_form   80.03 kJ/mol of atoms
Calculated volume   262.8 Å³ per cell
Spin magnetization   4.12 μB/f.u.
Density of states at the Fermi level   12.21 states/eV/f.u.

The following is a GGA-PBE calculation of a relaxed structure of Ba3Ru, from the Alexandria database.

The structure in extended XYZ format:
```
4
Lattice="5.237 -0.219 0.120 2.883 4.378 0.120 2.467 1.264 6.674" Properties=species:S:1:pos:R:3 pbc="T T T"
Ru 0.000 0.000 0.000
Ba 2.685 1.375 1.139
Ba 7.903 4.047 5.775
Ba 5.294 2.711 3.457
```

Values from the calculation:
VASP energy   -3.26 eV/atom
Space-group type   C2/m (12)
E_form   48.70 kJ/mol of atoms
Calculated volume   155.5 Å³ per cell
Spin magnetization   0.00 μB/f.u.
Density of states at the Fermi level   3.45 states/eV/f.u.

The following is a GGA-PBE calculation of a relaxed structure of Ba2Ru, from the Alexandria database.

The structure in extended XYZ format:
```
3
Lattice="5.598 0.000 0.000 -2.799 4.848 0.000 0.000 0.000 3.329" Properties=species:S:1:pos:R:3 pbc="T T T"
Ba 0.000 3.232 1.665
Ba 2.799 1.616 1.665
Ru 0.000 0.000 0.000
```

Values from the calculation:
VASP energy   -3.50 eV/atom
Space-group type   P6/mmm (191)
E_form   84.23 kJ/mol of atoms
Calculated volume   90.4 Å³ per cell
Spin magnetization   0.36 μB/f.u.
Density of states at the Fermi level   2.48 states/eV/f.u.

The following is a GGA-PBE calculation of a relaxed structure of Ba2Ru3, from the Alexandria database.

The structure in extended XYZ format:
```
10
Lattice="-2.348 -2.820 8.459 -1.570 3.191 7.450 -5.759 -1.893 0.999" Properties=species:S:1:pos:R:3 pbc="T T T"
Ru -7.262 -2.915 10.945
Ru -4.366 -1.947 10.581
Ru -3.075 -2.220 8.457
Ru -3.146 0.220 4.225
Ru -3.580 -1.007 6.330
Ru -5.522 -0.801 14.419
Ba -6.502 -1.750 8.066
Ba -8.744 -1.913 13.724
Ba -6.778 0.460 11.634
Ba -4.182 1.058 8.839
```

Values from the calculation:
VASP energy   -5.92 eV/atom
Space-group type   Fdd2 (43)
E_form   40.09 kJ/mol of atoms
Calculated volume   256.6 Å³ per cell
Spin magnetization   0.00 μB/f.u.
Density of states at the Fermi level   5.99 states/eV/f.u.

The following is a GGA-PBE calculation of a relaxed structure of Ba4Ru5, from the Alexandria database.

The structure in extended XYZ format:
```
18
Lattice="9.059 0.000 0.000 -4.530 7.846 0.000 0.000 0.000 6.235" Properties=species:S:1:pos:R:3 pbc="T T T"
Ba 5.842 0.000 4.676
Ba -1.608 2.786 1.559
Ba 0.000 0.000 3.117
Ba 3.217 0.000 1.559
Ba 2.921 5.060 1.559
Ba 1.608 2.786 4.676
Ba -2.921 5.060 4.676
Ba 0.000 0.000 0.000
Ru 1.530 2.650 1.559
Ru 3.059 0.000 4.676
Ru -3.000 5.196 1.559
Ru 6.000 0.000 1.559
Ru 3.000 5.196 4.676
Ru 4.530 2.615 0.000
Ru 4.530 2.615 3.117
Ru -1.530 2.650 4.676
Ru 0.000 5.230 3.117
Ru 0.000 5.230 0.000
```

Values from the calculation:
VASP energy   -4.79 eV/atom
Space-group type   P6_3/mcm (193)
E_form   117.62 kJ/mol of atoms
Calculated volume   443.1 Å³ per cell
Spin magnetization   6.12 μB/f.u.
Density of states at the Fermi level   11.46 states/eV/f.u.

The following is a GGA-PBE calculation of a relaxed structure of Ba3Ru, from the Alexandria database.

The structure in extended XYZ format:
```
4
Lattice="7.379 -0.006 -0.003 2.412 6.973 0.003 -3.585 -5.324 3.639" Properties=species:S:1:pos:R:3 pbc="T T T"
Ba -0.496 -2.683 3.438
Ba 2.697 -0.410 3.438
Ba 6.753 0.873 1.781
Ru 1.090 -1.531 1.044
```

Values from the calculation:
VASP energy   -3.46 eV/atom
Space-group type   Imm2 (44)
E_form   29.45 kJ/mol of atoms
Calculated volume   187.4 Å³ per cell
Spin magnetization   0.00 μB/f.u.
Density of states at the Fermi level   3.16 states/eV/f.u.

The following is a GGA-PBE calculation of a relaxed structure of BaRu2S, from the Alexandria database.

The structure in extended XYZ format:
```
8
Lattice="4.900 0.000 0.000 0.000 4.900 0.000 2.450 2.450 8.066" Properties=species:S:1:pos:R:3 pbc="T T T"
Ba 4.900 2.450 4.033
Ba 0.000 0.000 0.000
Ru 6.124 4.901 6.050
Ru 2.451 1.225 2.017
Ru 3.675 4.898 6.050
Ru 2.448 3.675 2.017
S 2.450 2.450 0.000
S 2.450 4.900 4.033
```

Values from the calculation:
VASP energy   -6.25 eV/atom
Space-group type   I4_1/amd (141)
Calculated volume   193.6 Å³ per cell
Raw formation energy   -0.39 eV/f.u.
Spin magnetization   0.00 μB/f.u.
Density of states at the Fermi level   4.35 states/eV/f.u.